Li2PmI6: relaxed, PBE.

Properties
V = 782.7 Å³ per cell
excess energy over the best structure of this formula in the dataset = 0.0000 eV/atom
total moment = 2.030 Bohr magnetons per cell

Cell: 8.163 9.962 9.962 Å, 89.34 79.44 79.44°
Last column: magnetic moment on the atom in μB.
Atoms (fractional coordinates):
1 Li 0.801 0.413 0.244  0.00
2 Li 0.699 0.756 0.587  0.00
3 Li 0.301 0.244 0.413  0.00
4 Li 0.199 0.587 0.756  0.00
5 I 0.917 0.534 0.663  0.30
6 I 0.316 0.381 0.926  0.03
7 I 0.417 0.663 0.534  0.30
8 I 0.633 0.960 0.804  0.00
9 I 0.184 0.074 0.619  0.03
10 I 0.367 0.040 0.196  0.00
11 I 0.083 0.466 0.337  0.30
12 I 0.816 0.926 0.381  0.03
13 I 0.133 0.804 0.960  0.00
14 I 0.583 0.337 0.466  0.30
15 I 0.684 0.619 0.074  0.03
16 I 0.867 0.196 0.040  0.00
17 Pm 0.250 0.095 0.905  0.00
18 Pm 0.750 0.905 0.095  0.00